MnCr2O: optimized geometry, PBE+U.

Computed properties:
Its calculated total energy is -5.15 eV per atom. The total moment comes out at 1.712 μB per atom. For the polymorph energy (0 for the lowest one), the calculation gives 1.898 eV per atom.

The structure in extended XYZ format:
```
4
Lattice="0.0000 3.1224 3.1224 3.1224 0.0000 3.1224 3.1224 3.1224 0.0000" Properties=species:S:1:pos:R:3 pbc="T T T"
Mn 0.0000 0.0000 0.0000
Cr 1.5612 1.5612 1.5612
Cr 4.6836 4.6836 4.6836
O 3.1224 3.1224 3.1224
```